1.
An optimized crystal structure of Zr4SbPbN2. Source: OQMD, functional PBE-GGA.

The structure belongs to space group P-6m2 (No. 187); the cell edges are 3.4231, 3.4231 and 14.0600 Å and the angles 90.00°, 90.00° and 120.00°. Symmetry generates all atoms from Zr at (0.0000, 0.0000, 0.1583), Zr at (0.3333, 0.6667, 0.3256), Sb at (0.3333, 0.6667, 0.0000), Pb at (0.0000, 0.0000, 0.5000) and N at (0.6667, 0.3333, 0.2437).

The total energy comes out at -8.362 eV/atom. The value obtained for the total magnetic moment is 0.00 μB/f.u.


2.
An optimized crystal structure of CuSn5Mo3. Source: OQMD, functional PBE-GGA.

The structure belongs to space group P6/mmm (No. 191); the cell edges are 5.6024, 5.6024 and 7.5607 Å and the angles 90.00°, 90.00° and 120.00°. Symmetry generates all atoms from Cu at (0.0000, 0.0000, 0.0000), Sn at (0.0000, 0.0000, 0.5000), Sn at (0.3333, 0.6667, 0.1896) and Mo at (0.0000, 0.5000, 0.5000).

The total energy comes out at -5.926 eV/atom. The value obtained for the total magnetic moment is 0.00 μB/f.u.


3.
An optimized crystal structure of ThCdAgHg. Source: OQMD, functional PBE-GGA.

The structure belongs to space group F-43m (No. 216); the cell edges are 7.264, 7.264 and 7.264 Å and the angles 90.00°, 90.00° and 90.00°. Symmetry generates all atoms from Th at (0.000, 0.000, 0.000), Cd at (0.000, 0.000, 0.500), Ag at (0.250, 0.250, 0.750) and Hg at (0.250, 0.250, 0.250).

The value obtained for the total magnetic moment is 0.00 μB/f.u. As for the formation energy: -0.210 eV per atom.


4.
An optimized crystal structure of SmAlAsO. Source: OQMD, functional PBE-GGA.

The structure belongs to space group Pmc2_1 (No. 26); the cell edges are 3.981, 4.723 and 7.130 Å and the angles 90.00°, 90.00° and 90.00°. Symmetry generates all atoms from Sm at (0.000, 0.184, 0.000), Al at (0.500, 0.324, 0.343), As at (0.500, 0.182, 0.688) and O at (0.000, 0.325, 0.345).

The total energy comes out at -6.140 eV/atom. The value obtained for the total magnetic moment is 0.00 μB/f.u.


5.
An optimized crystal structure of ZnGe2Au. Source: OQMD, functional PBE-GGA.

The structure belongs to space group F-43m (No. 216); the cell edges are 6.627, 6.627 and 6.627 Å and the angles 90.00°, 90.00° and 90.00°. Symmetry generates all atoms from Zn at (0.000, 0.000, 0.000), Ge at (0.000, 0.000, 0.500), Ge at (0.250, 0.250, 0.250) and Au at (0.250, 0.250, 0.750).

The total energy comes out at -3.263 eV/atom.


6.
An optimized crystal structure of Pr3Zn8Cd3. Source: OQMD, functional PBE-GGA.

The structure belongs to space group Immm (No. 71); the cell edges are 4.555, 9.135 and 13.806 Å and the angles 90.00°, 90.00° and 90.00°. Symmetry generates all atoms from Pr at (0.000, 0.000, 0.000), Pr at (0.000, 0.000, 0.298), Zn at (0.000, 0.271, 0.149), Zn at (0.000, 0.365, 0.335), Cd at (0.000, 0.205, 0.500) and Cd at (0.000, 0.500, 0.000).

The value obtained for the total magnetic moment is 0.02 μB/f.u. As for the formation energy: -0.329 eV per atom.


Q: What is the formula in the second record?
A: CuSn5Mo3


What did the first record say?
An optimized crystal structure of Zr4SbPbN2. Source: OQMD, functional PBE-GGA.

The structure belongs to space group P-6m2 (No. 187); the cell edges are 3.4231, 3.4231 and 14.0600 Å and the angles 90.00°, 90.00° and 120.00°. Symmetry generates all atoms from Zr at (0.0000, 0.0000, 0.1583), Zr at (0.3333, 0.6667, 0.3256), Sb at (0.3333, 0.6667, 0.0000), Pb at (0.0000, 0.0000, 0.5000) and N at (0.6667, 0.3333, 0.2437).

The total energy comes out at -8.362 eV/atom. The value obtained for the total magnetic moment is 0.00 μB/f.u.